Below is a geometry-optimized Pr12Dy2Tm5 structure, with properties calculated at the PBE level.

The crystal system is monoclinic.

a = 8.825 Å, b = 8.825 Å, c = 9.537 Å
α = 110.11°, β = 110.11°, γ = 83.76°
Element x y z (fractional)
Pr 0.024 0.548 0.689
Pr 0.063 0.063 0.284
Pr 0.142 0.656 0.097
Pr 0.344 0.858 0.903
Pr 0.400 0.400 0.578
Pr 0.452 0.976 0.311
Pr 0.548 0.024 0.689
Pr 0.600 0.600 0.422
Pr 0.656 0.142 0.097
Pr 0.858 0.344 0.903
Pr 0.937 0.937 0.716
Pr 0.976 0.452 0.311
Dy 0.215 0.785 0.500
Dy 0.785 0.215 0.500
Tm 0.198 0.198 0.733
Tm 0.278 0.278 0.137
Tm 0.500 0.500 0.000
Tm 0.722 0.722 0.863
Tm 0.802 0.802 0.267

Below is a geometry-optimized Pr3DyTm3 structure, with properties calculated at the PBE level.

The crystal system is hexagonal.

a = 9.639 Å, b = 9.639 Å, c = 5.767 Å
α = 90.00°, β = 90.00°, γ = 120.00°
Element x y z (fractional)
Pr 0.051 0.245 0.250
Pr 0.195 0.949 0.250
Pr 0.245 0.195 0.750
Pr 0.755 0.805 0.250
Pr 0.805 0.051 0.750
Pr 0.949 0.755 0.750
Dy 0.333 0.667 0.250
Dy 0.667 0.333 0.750
Tm 0.096 0.481 0.750
Tm 0.385 0.904 0.750
Tm 0.481 0.385 0.250
Tm 0.519 0.615 0.750
Tm 0.615 0.096 0.250
Tm 0.904 0.519 0.250

Below is a geometry-optimized PrDy7Tm3 structure, with properties calculated at the PBE level.

The crystal system is monoclinic.

a = 6.927 Å, b = 5.530 Å, c = 9.831 Å
α = 90.00°, β = 109.42°, γ = 90.00°
Element x y z (fractional)
Pr 0.000 0.000 0.000
Dy 0.000 0.000 0.500
Dy 0.147 0.500 0.790
Dy 0.328 0.500 0.144
Dy 0.426 0.000 0.333
Dy 0.574 0.000 0.667
Dy 0.672 0.500 0.856
Dy 0.853 0.500 0.210
Tm 0.276 0.500 0.496
Tm 0.500 0.000 0.000
Tm 0.724 0.500 0.504

Below is a geometry-optimized Pr2DyTm4 structure, with properties calculated at the PBE level.

The crystal system is tetragonal.

a = 8.434 Å, b = 8.434 Å, c = 8.434 Å
α = 109.54°, β = 109.54°, γ = 109.33°
Element x y z (fractional)
Pr 0.002 0.625 0.877
Pr 0.375 0.252 0.377
Pr 0.748 0.125 0.123
Pr 0.875 0.998 0.623
Dy 0.250 0.750 0.500
Dy 0.500 0.500 0.000
Tm 0.126 0.376 0.087
Tm 0.126 0.376 0.587
Tm 0.290 0.040 0.913
Tm 0.460 0.874 0.250
Tm 0.624 0.210 0.750
Tm 0.624 0.710 0.750
Tm 0.790 0.540 0.413
Tm 0.960 0.874 0.250

Below is a geometry-optimized PrDy8Tm2 structure, with properties calculated at the PBE level.

The crystal system is orthorhombic.

a = 9.331 Å, b = 9.331 Å, c = 9.331 Å
α = 145.77°, β = 128.40°, γ = 63.39°
Element x y z (fractional)
Pr 0.000 0.000 0.000
Dy 0.154 0.860 0.294
Dy 0.164 0.664 0.500
Dy 0.296 0.500 0.796
Dy 0.434 0.140 0.294
Dy 0.566 0.860 0.706
Dy 0.704 0.500 0.204
Dy 0.836 0.336 0.500
Dy 0.846 0.140 0.706
Tm 0.301 0.301 0.000
Tm 0.699 0.699 0.000

Below is a geometry-optimized Pr2Dy2Tm5 structure, with properties calculated at the PBE level.

The crystal system is orthorhombic.

a = 10.059 Å, b = 10.059 Å, c = 10.059 Å
α = 84.38°, β = 108.72°, γ = 140.98°
Element x y z (fractional)
Pr 0.006 0.127 0.133
Pr 0.006 0.373 0.379
Pr 0.994 0.627 0.621
Pr 0.994 0.873 0.867
Dy 0.435 0.698 0.237
Dy 0.461 0.198 0.763
Dy 0.554 0.054 0.500
Dy 0.554 0.554 0.000
Tm 0.110 0.297 0.706
Tm 0.110 0.904 0.314
Tm 0.397 0.397 0.500
Tm 0.434 0.027 0.122
Tm 0.434 0.812 0.907
Tm 0.590 0.404 0.294
Tm 0.590 0.797 0.686
Tm 0.897 0.897 0.500
Tm 0.906 0.312 0.878
Tm 0.906 0.527 0.093

Below is a geometry-optimized Pr2Dy2Tm3 structure, with properties calculated at the PBE level.

The crystal system is monoclinic.

a = 8.896 Å, b = 8.896 Å, c = 8.650 Å
α = 118.58°, β = 118.58°, γ = 22.62°
Element x y z (fractional)
Pr 0.145 0.145 0.327
Pr 0.855 0.855 0.673
Dy 0.435 0.435 0.097
Dy 0.565 0.565 0.903
Tm 0.000 0.000 0.500
Tm 0.212 0.212 0.808
Tm 0.788 0.788 0.192

Below is a geometry-optimized Pr3Dy8Tm structure, with properties calculated at the PBE level.

The crystal system is tetragonal.

a = 8.408 Å, b = 8.408 Å, c = 8.408 Å
α = 117.08°, β = 117.08°, γ = 95.14°
Element x y z (fractional)
Pr 0.000 0.000 0.000
Pr 0.250 0.750 0.500
Pr 0.750 0.250 0.500
Dy 0.130 0.130 0.750
Dy 0.244 0.730 0.000
Dy 0.270 0.270 0.514
Dy 0.381 0.381 0.250
Dy 0.619 0.870 0.000
Dy 0.730 0.244 0.000
Dy 0.756 0.756 0.486
Dy 0.870 0.619 0.000
Tm 0.500 0.500 0.000

Below is a geometry-optimized Pr12Dy2Tm5 structure, with properties calculated at the PBE level.

The crystal system is monoclinic.

a = 10.786 Å, b = 10.786 Å, c = 6.251 Å
α = 100.28°, β = 100.28°, γ = 66.18°
Element x y z (fractional)
Pr 0.044 0.563 0.802
Pr 0.057 0.057 0.273
Pr 0.149 0.643 0.384
Pr 0.357 0.851 0.616
Pr 0.380 0.380 0.996
Pr 0.437 0.956 0.198
Pr 0.563 0.044 0.802
Pr 0.620 0.620 0.004
Pr 0.643 0.149 0.384
Pr 0.851 0.357 0.616
Pr 0.943 0.943 0.727
Pr 0.956 0.437 0.198
Dy 0.268 0.732 0.000
Dy 0.732 0.268 0.000
Tm 0.179 0.179 0.858
Tm 0.284 0.284 0.445
Tm 0.500 0.500 0.500
Tm 0.716 0.716 0.555
Tm 0.821 0.821 0.142

Values of DFT formation energy, in order: 110, 25, 143, 269, 117, 213, 118, 612, 101, all in meV per atom.
Values of E_tot, in order: -4.570, -4.597, -4.440, -4.309, -4.477, -4.356, -4.479, -4.024, -4.579, all in eV per atom.